[1]
Sr2MnSbO6 (GGA-PBEsol, relaxed); V = 12.330 Å³ per atom; formation energy from raw total energies = -2215.2 meV per atom; crystal system = cubic; Fermi-level density of states = 1.27 states/eV per cell
1.0
-5.3363 1.4644 -0.7691
-2.5590 -1.1992 -4.8193
-3.9784 -3.9194 -0.1504
Sb Mn O Sr
1 1 6 2
Direct
0.5000 0.5000 0.5000
0.0000 0.0000 0.0000
0.2482 0.7518 0.2482
0.2482 0.2482 0.7518
0.7518 0.7518 0.2482
0.2482 0.7518 0.7518
0.7518 0.2482 0.7518
0.7518 0.2482 0.2482
0.2500 0.2500 0.2500
0.7500 0.7500 0.7500

***

[2]
Y2Mn3Sb3O14 (GGA-PBEsol, relaxed); V = 11.951 Å³ per atom; formation energy from raw total energies = -1960.0 meV per atom; crystal system = monoclinic; Fermi-level density of states = 1.57 states/eV per cell
1.0
-6.3192 1.5468 2.7531
-5.6689 -0.5080 -4.1844
-4.6402 -5.3643 1.1539
Y Sb Mn O
2 3 3 14
Direct
0.0000 0.5000 0.5000
0.5000 0.0000 0.5000
0.5000 0.5000 0.5000
0.5000 0.0000 0.0000
0.0000 0.5000 0.0000
0.0000 0.0000 0.5000
0.0000 0.0000 0.0000
0.5000 0.5000 0.0000
0.8853 0.8853 0.3692
0.1147 0.1147 0.6308
0.5946 0.5946 0.6451
0.4054 0.4054 0.3549
0.1699 0.1699 0.0586
0.8301 0.8301 0.9414
0.5665 0.1779 0.0907
0.1779 0.5665 0.0907
0.4335 0.8221 0.9093
0.8221 0.4335 0.9093
0.1675 0.5863 0.6730
0.5863 0.1675 0.6730
0.8325 0.4137 0.3270
0.4137 0.8325 0.3270

***

[3]
MnZn2SbO6 (GGA-PBEsol, relaxed); V = 10.397 Å³ per atom; formation energy from raw total energies = -1416.6 meV per atom; crystal system = monoclinic; Fermi-level density of states = 2.13 states/eV per cell
1.0
5.2346 0.0001 0.0000
-0.3558 5.2560 0.0000
0.0000 0.0000 7.5577
Mn Zn Sb O
2 4 2 12
Direct
0.0000 0.5000 0.5000
0.0000 0.5000 0.0000
0.5571 0.5231 0.2500
0.4429 0.4769 0.7500
0.0157 0.0407 0.2500
0.9843 0.9593 0.7500
0.5000 0.0000 0.5000
0.5000 0.0000 0.0000
0.5890 0.8691 0.7500
0.4110 0.1309 0.2500
0.9224 0.4001 0.2500
0.0776 0.5999 0.7500
0.6806 0.3330 0.5639
0.3194 0.6670 0.0639
0.6806 0.3330 0.9361
0.3194 0.6670 0.4361
0.1896 0.1617 0.9286
0.8104 0.8383 0.4286
0.1896 0.1617 0.5714
0.8104 0.8383 0.0714

***

[4]
ScMn2O4 (GGA-PBEsol, relaxed); V = 11.449 Å³ per atom; formation energy from raw total energies = -2166.7 meV per atom; crystal system = orthorhombic; Fermi-level density of states = 3.49 states/eV per cell
1.0
-3.0942 1.3517 5.1426
2.7375 -5.3599 -0.6239
3.3125 5.2618 0.6100
Sc Mn O
2 4 8
Direct
0.5000 0.0000 0.5000
0.5000 0.0000 0.0000
0.8789 0.7578 0.6289
0.1211 0.2422 0.3711
0.5000 0.5000 0.0000
0.0000 0.5000 0.0000
0.2515 0.5031 0.2288
0.2515 0.5031 0.7742
0.7485 0.4969 0.2258
0.7485 0.4969 0.7712
0.2531 0.9654 0.2327
0.7123 0.9654 0.2327
0.2877 0.0346 0.7673
0.7469 0.0346 0.7673

***

[5]
Sc3MnO (GGA-PBEsol, relaxed); V = 16.240 Å³ per atom; formation energy from raw total energies = -1137.8 meV per atom; crystal system = cubic; Fermi-level density of states = 6.90 states/eV per cell
1.0
-0.4772 2.4315 3.5513
-4.1833 -1.1021 0.1925
1.0119 -3.4095 2.4704
Sc Mn O
3 1 1
Direct
0.0000 0.5000 0.0000
0.0000 0.0000 0.5000
0.5000 0.0000 0.0000
0.5000 0.5000 0.5000
0.0000 0.0000 0.0000

***

[6]
Sc2Mn2O7 (GGA-PBEsol, relaxed); V = 9.893 Å³ per atom; formation energy from raw total energies = -2556.9 meV per atom; crystal system = cubic
1.0
6.7519 0.0000 0.0000
3.3759 5.8473 0.0000
3.3759 1.9491 5.5129
Sc Mn O
4 4 14
Direct
0.1250 0.1250 0.6250
0.1250 0.6250 0.1250
0.1250 0.1250 0.1250
0.6250 0.1250 0.1250
0.6250 0.6250 0.1250
0.6250 0.1250 0.6250
0.6250 0.6250 0.6250
0.1250 0.6250 0.6250
0.7102 0.2898 0.2898
0.9602 0.5398 0.5398
0.7102 0.7102 0.2898
0.2898 0.7102 0.2898
0.7102 0.2898 0.7102
0.2898 0.2898 0.7102
0.5398 0.9602 0.9602
0.9602 0.5398 0.9602
0.2500 0.2500 0.2500
0.0000 0.0000 0.0000
0.2898 0.7102 0.7102
0.5398 0.5398 0.9602
0.9602 0.9602 0.5398
0.5398 0.9602 0.5398